Material: Li6NiO4
Method: DFT, GGA-PBEsol
State: optimized geometry

DOS(E_F) = 5.00 states/eV/f.u.
total moment = 0.18 μB/atom
formation energy (no corrections) = -1.5925 eV/atom

a = 4.570 Å, b = 6.483 Å, c = 6.483 Å
α = 90.00°, β = 90.00°, γ = 90.00°
Element x y z (fractional)
Li: 0.500 0.283 0.283
Li: 0.500 0.282 0.718
Li: 0.441 0.500 0.000
Li: 0.941 0.500 0.000
Li: 0.500 0.718 0.282
Li: 0.500 0.717 0.717
Li: 0.000 0.782 0.782
Li: 0.000 0.783 0.217
Li: 0.059 0.000 0.500
Li: 0.559 0.000 0.500
Li: 0.000 0.217 0.783
Li: 0.000 0.218 0.218
Ni: 0.000 0.500 0.500
Ni: 0.500 0.000 0.000
O: 0.703 0.266 0.000
O: 0.203 0.500 0.766
O: 0.203 0.500 0.234
O: 0.703 0.734 0.000
O: 0.797 0.766 0.500
O: 0.297 0.000 0.734
O: 0.297 0.000 0.266
O: 0.797 0.234 0.500